No. 1
# Nb3TeOs, relaxed, DFT PBE
# Mass density, g cm⁻³: 8.42
# Formation energy from raw total energies, eV per atom: 1.961
# Calculated total energy, eV per atom: -6.955
# Relative energy among the computed polymorphs, meV per atom: 1075
# Space-group type: Pm-3m, No. 221
data_Nb3TeOs
_chemical_formula_sum 'Nb3 Te1 Os1'
_symmetry_space_group_name_H-M 'P 1'
_symmetry_Int_Tables_number 1
_cell_length_a 4.900
_cell_length_b 4.900
_cell_length_c 4.900
_cell_angle_alpha 90.00
_cell_angle_beta 90.00
_cell_angle_gamma 90.00
loop_
_symmetry_equiv_pos_as_xyz
'x,y,z'
loop_
_atom_site_label
_atom_site_type_symbol
_atom_site_fract_x
_atom_site_fract_y
_atom_site_fract_z
Os1 Os 0.500 0.500 0.500
Nb1 Nb 0.500 0.000 0.000
Nb2 Nb 0.000 0.500 0.000
Te1 Te 0.000 0.000 0.000
Nb3 Nb 0.000 0.000 0.500

No. 2
# NbTe4Os, relaxed, DFT PBE
# Mass density, g cm⁻³: 8.15
# Formation energy from raw total energies, eV per atom: -0.277
# Calculated total energy, eV per atom: -5.921
# Space-group type: Pmn2_1, No. 31
data_NbTe4Os
_chemical_formula_sum 'Nb4 Te16 Os4'
_symmetry_space_group_name_H-M 'P 1'
_symmetry_Int_Tables_number 1
_cell_length_a 3.797
_cell_length_b 12.550
_cell_length_c 13.569
_cell_angle_alpha 90.00
_cell_angle_beta 90.00
_cell_angle_gamma 90.00
loop_
_symmetry_equiv_pos_as_xyz
'x,y,z'
loop_
_atom_site_label
_atom_site_type_symbol
_atom_site_fract_x
_atom_site_fract_y
_atom_site_fract_z
Nb1 Nb 0.500 0.948 0.506
Te1 Te 0.000 0.338 0.092
Os1 Os 0.500 0.230 0.988
Te2 Te 0.500 0.102 0.149
Te3 Te 0.500 0.662 0.592
Te4 Te 0.000 0.074 0.396
Te5 Te 0.500 0.809 0.353
Te6 Te 0.000 0.898 0.649
Te7 Te 0.500 0.158 0.604
Te8 Te 0.500 0.574 0.138
Te9 Te 0.000 0.668 0.847
Te10 Te 0.500 0.428 0.899
Nb2 Nb 0.000 0.283 0.490
Nb3 Nb 0.500 0.717 0.990
Os2 Os 0.000 0.770 0.488
Te11 Te 0.500 0.926 0.896
Te12 Te 0.500 0.332 0.347
Te13 Te 0.000 0.572 0.399
Te14 Te 0.000 0.426 0.638
Os3 Os 0.500 0.464 0.503
Nb4 Nb 0.000 0.052 0.006
Te15 Te 0.000 0.842 0.104
Os4 Os 0.000 0.536 0.003
Te16 Te 0.000 0.191 0.853